# GGA-PBEsol LaTiB3, optimized geometry
data_LaTiB3
_symmetry_space_group_name_H-M 'P m -3 m'
_symmetry_Int_Tables_number 221
_symmetry_space_group_name_Hall '-P 4 2 3'
_cell_length_a 4.220
_cell_length_b 4.220
_cell_length_c 4.220
_cell_angle_alpha 90.00
_cell_angle_beta 90.00
_cell_angle_gamma 90.00
loop_
_atom_site_label
_atom_site_fract_x
_atom_site_fract_y
_atom_site_fract_z
La1 0.000 0.000 0.000
Ti1 0.500 0.500 0.500
B1 0.000 0.500 0.500
# ΔH_f (0 K) in meV/atom: 360